Crystalline Ge2Te3 at its relaxed geometry, computed with GGA-PBE.

**Formation energy from raw total energies**: 0.074 eV per atom
**D(E_F)**: 6.26 states/eV per cell
**Calculated volume**: 299.57 Å³ per cell
**Energy**: -36.6 eV for the cell shown

```
Ge2Te3
1.0
-5.6428 4.0888 2.0902
-1.6598 0.5725 7.0601
1.5112 6.7393 3.5572
Ge Te
4 6
Direct
0.3431 0.3431 0.9707
0.1569 0.1569 0.5293
0.8431 0.8431 0.4707
0.6569 0.6569 0.0293
0.2500 0.5609 0.2500
0.7500 0.4391 0.7500
0.9391 0.2500 0.2500
0.5609 0.9391 0.2500
0.0609 0.7500 0.7500
0.4391 0.0609 0.7500
```